1.
Computed, not measured: a crystal of SrCaMo2 relaxed with PBEsol at the SCAN level of DFT.

For the density, the calculation gives 4.58 g/cm³. As for the symmetry: C2/m, No. 12. The energy above the lowest structure with this stoichiometry comes out at 0.0 meV per atom. The calculation puts the formation energy at 0.894 eV per atom. Its total energy is -98.13 eV/cell.

Lattice parameters (Å, degrees): 3.6705 5.8723 6.4098 63.83 73.36 71.79
Fractional coordinates of all 4 atoms:
Ca: 0.0000 0.5000 0.5000
Mo: 0.7480 0.1183 0.3857
Sr: 0.5000 0.0000 0.0000
Mo: 0.2520 0.8817 0.6143

---

2.
Computed, not measured: a crystal of RbHfMo2N relaxed with PBEsol at the SCAN level of DFT.

For the density, the calculation gives 4.80 g/cm³. For the raw formation energy, the calculation gives 2.65 eV/atom. As for the symmetry: P4/mmm, No. 123. Its total energy is -149.21 eV/cell.

Lattice parameters (Å, degrees): 4.7178 4.7178 7.2999 90.00 90.00 90.00
Fractional coordinates of all 5 atoms:
Mo: 0.0000 0.5000 0.0000
N: 0.5000 0.5000 0.5000
Mo: 0.5000 0.0000 0.0000
Hf: 0.0000 0.0000 0.0000
Rb: 0.0000 0.0000 0.5000

---

3.
Computed, not measured: a crystal of K3TcPt relaxed with PBEsol at the SCAN level of DFT.

For the density, the calculation gives 3.27 g/cm³. As for the symmetry: Pm-3m, No. 221. The calculation puts the formation energy at 1.532 eV per atom. Its total energy is -122.58 eV/cell.

Lattice parameters (Å, degrees): 5.9262 5.9262 5.9262 90.00 90.00 90.00
Fractional coordinates of all 5 atoms:
Pt: 0.5000 0.5000 0.5000
K: 0.0000 0.5000 0.0000
K: 0.0000 0.0000 0.5000
Tc: 0.0000 0.0000 0.0000
K: 0.5000 0.0000 0.0000

---

4.
Computed, not measured: a crystal of KZrBe2 relaxed with PBEsol at the SCAN level of DFT.

For the density, the calculation gives 2.96 g/cm³. As for the symmetry: P4/mmm, No. 123. The energy above the lowest structure with this stoichiometry comes out at 0.0 meV per atom. The calculation puts the formation energy at 0.436 eV per atom. Its total energy is -45.99 eV/cell.

Lattice parameters (Å, degrees): 3.3778 3.3778 7.3019 90.00 90.00 90.00
Fractional coordinates of all 4 atoms:
Zr: 0.5000 0.5000 0.5000
K: 0.5000 0.5000 0.0000
Be: 0.0000 0.0000 0.3447
Be: 0.0000 0.0000 0.6553

---

5.
Computed, not measured: a crystal of ScIF2 relaxed with PBEsol at the SCAN level of DFT.

For the density, the calculation gives 3.67 g/cm³. For the raw formation energy, the calculation gives -1.76 eV/atom. As for the symmetry: R-3m, No. 166. Its total energy is -65.09 eV/cell.

Lattice parameters (Å, degrees): 3.3532 3.3532 9.9290 80.28 80.28 60.00
Fractional coordinates of all 4 atoms:
Sc: 0.0000 0.0000 0.0000
F: 0.0636 0.0636 0.8093
I: 0.5000 0.5000 0.5000
F: 0.9364 0.9364 0.1907

---

6.
Computed, not measured: a crystal of Li3Mg relaxed with PBEsol at the SCAN level of DFT.

For the density, the calculation gives 0.95 g/cm³. As for the symmetry: P6_3/mmc, No. 194. The calculation puts the formation energy at -0.022 eV per atom. Its total energy is -24.46 eV/cell.

Lattice parameters (Å, degrees): 4.9851 6.0456 6.0456 120.00 90.00 90.00
Fractional coordinates of all 8 atoms:
Li: 0.7500 0.1662 0.3323
Li: 0.7500 0.6677 0.8338
Li: 0.7500 0.1662 0.8338
Mg: 0.2500 0.3333 0.6667
Mg: 0.7500 0.6667 0.3333
Li: 0.2500 0.3323 0.1662
Li: 0.2500 0.8338 0.6677
Li: 0.2500 0.8338 0.1662